Here is crystalline SiAgBr2 at its relaxed geometry from Alexandria via LeMat-Bulk. Energies are from PBE-GGA.

Offset from the most stable computed form: 290 meV per atom
Size of the total moment: 0.00 μB per formula unit
Total DFT energy (no corrections): -2.709 eV/atom
Formation energy from raw total energies: 0.196 eV/atom

Cell: 3.553 7.449 5.711 Å, 40.13 90.00 90.00°
Fractional positions:
Si1 0.500 0.500 0.500
Br1 0.000 0.000 0.000
Br2 0.500 0.500 0.000
Ag1 0.000 0.000 0.500